# 1
The following is a SCAN calculation of a PBEsol-optimized structure of ReAgCl3, from Alexandria via LeMat-Bulk.

```
5
Lattice="4.7292 0.0000 0.0000 0.0000 4.7292 0.0000 0.0000 0.0000 4.7292" Properties=species:S:1:pos:R:3 pbc="T T T"
Re 0.0000 0.0000 0.0000
Ag 2.3646 2.3646 2.3646
Cl 0.0000 0.0000 2.3646
Cl 0.0000 2.3646 0.0000
Cl 2.3646 0.0000 0.0000
```

Values from the calculation:
E_form (uncorrected): 0.259 eV per atom
energy relative to the lowest polymorph listed for this composition: 0.00 eV/f.u.
energy: -25.0204 eV per atom

***

# 2
The following is a SCAN calculation of a PBEsol-optimized structure of BaY2Au, from Alexandria via LeMat-Bulk.

```
4
Lattice="-2.0456 -1.5209 -2.8207 1.1193 -4.9658 1.8658 -4.3231 3.3849 3.8721" Properties=species:S:1:pos:R:3 pbc="T T T"
Y -0.0407 -0.0503 0.0566
Y -3.9133 -0.7497 0.6801
Au -4.6506 0.3416 3.1885
Ba -1.4309 -2.5019 2.3867
```

Values from the calculation:
energy relative to the lowest polymorph listed for this composition: 0.42 eV/f.u.
E_form: -1.3 eV per formula unit
energy: -41.4110 eV per atom

***

# 3
The following is a SCAN calculation of a PBEsol-optimized structure of BeAs2Ir, from Alexandria via LeMat-Bulk.

```
4
Lattice="-0.5504 -1.0519 -2.6500 -1.2889 -3.1663 1.5246 -4.3920 4.3703 0.7683" Properties=species:S:1:pos:R:3 pbc="T T T"
Be -0.6445 -1.5832 0.7623
Ir -0.2752 -0.5260 -1.3250
As -1.9044 0.8107 0.0737
As -4.3269 -0.6586 -0.4308
```

Values from the calculation:
E_form: -0.5 eV per formula unit
energy: -29.0785 eV per atom

***

# 4
The following is a SCAN calculation of a PBEsol-optimized structure of ZrBr2Cl, from Alexandria via LeMat-Bulk.

```
4
Lattice="3.2643 0.0000 0.0000 0.0000 5.0224 0.0000 -1.6322 -2.5112 6.5053" Properties=species:S:1:pos:R:3 pbc="T T T"
Zr 1.6322 0.0000 3.2792
Cl 0.0000 0.0000 5.2678
Br 0.0000 0.0000 1.1432
Br 0.0000 2.5112 3.3203
```

Values from the calculation:
E_form (uncorrected): -1.355 eV per atom
energy relative to the lowest polymorph listed for this composition: 0.94 eV/f.u.
energy: -20.7543 eV per atom

***

# 5
The following is a SCAN calculation of a PBEsol-optimized structure of ZnOsIN2, from Alexandria via LeMat-Bulk.

```
5
Lattice="-0.1827 -1.5122 3.4544 -2.2141 -2.7565 -1.3238 4.8441 -3.3166 -1.1957" Properties=species:S:1:pos:R:3 pbc="T T T"
N -0.0913 -0.7561 1.7272
N -1.1070 -1.3783 -0.6619
Os 1.2237 -3.7927 0.4674
I 2.4221 -1.6583 -0.5979
Zn 0.0000 0.0000 0.0000
```

Values from the calculation:
E_form (uncorrected): 2.240 eV per atom
energy: -25.9037 eV per atom

***

# 6
The following is a SCAN calculation of a PBEsol-optimized structure of SnH8C2Br3N, from Alexandria via LeMat-Bulk.

```
120
Lattice="11.9694 0.0000 0.0000 0.0000 12.0729 0.0000 0.0000 0.0000 11.9714" Properties=species:S:1:pos:R:3 pbc="T T T"
H 6.2926 9.5584 7.6436
H 0.3389 9.8841 1.3885
H 7.1203 3.1760 7.6791
H 5.4362 1.5826 0.5964
H 1.7360 9.3938 11.4016
H 10.2334 3.3574 6.5555
H 0.3389 8.2252 7.3743
H 0.3079 8.5509 4.3278
H 11.1991 10.3255 5.5946
H 1.1356 2.8604 4.2923
H 5.2144 7.7838 6.3769
H 7.2550 8.0332 7.6440
H 4.8491 9.2124 10.2780
H 6.3236 9.8841 4.5972
H 5.6459 2.1888 7.3743
H 7.0946 4.0310 0.3243
H 10.8339 8.8969 1.6934
H 5.4362 4.4538 6.5821
H 10.2334 2.6791 0.5698
H 0.5485 10.4903 6.5821
H 0.7704 1.7474 6.3769
H 1.2703 10.0761 4.3275
H 4.8491 8.8969 4.2923
H 4.8749 8.0419 11.6472
H 1.2703 8.0332 10.3132
H 5.6768 3.5219 10.3135
H 4.8749 10.0674 5.6614
H 6.7551 4.2891 5.5946
H 1.1356 3.1760 10.2780
H 6.7551 1.7474 11.5803
H 4.7144 1.9968 10.3132
H 11.4210 1.5826 5.3893
H 7.1203 2.8604 1.6934
H 0.7704 4.2891 0.3912
H 6.3236 8.2252 10.5829
H 10.8339 9.2124 7.6791
H 7.0946 2.0054 6.3100
H 11.6306 3.8477 4.5972
H 10.6992 1.9968 7.6440
H 6.5332 10.4903 11.3750
H 1.1098 2.0054 11.6472
H 7.2550 10.0761 1.6583
H 10.8596 10.0674 0.3243
H 0.5485 7.6190 0.5964
H 4.2487 2.6791 5.4159
H 10.8596 8.0419 6.3100
H 6.2926 8.5509 1.6579
H 5.6459 3.8477 1.3885
H 10.6992 4.0397 1.6583
H 1.7360 8.7155 5.4159
H 1.1098 4.0310 5.6614
H 7.7207 9.3938 6.5555
H 11.6615 3.5219 7.6436
H 6.5332 7.6190 5.3893
H 4.2487 3.3574 11.4016
H 7.7207 8.7155 0.5698
H 5.2144 10.3255 0.3912
H 11.4210 4.4538 11.3750
H 11.6306 2.1888 10.5829
H 11.6615 2.5145 1.6579
H 4.7144 4.0397 4.3275
H 5.6768 2.5145 4.3278
H 11.1991 7.7838 11.5803
H 0.3079 9.5584 10.3135
Br 9.1559 9.3134 9.8479
Br 3.2265 11.8283 11.7153
Br 6.3660 6.1836 3.2961
Br 2.7583 0.2445 5.7296
Br 2.7583 5.7919 11.7153
Br 9.1559 8.7959 3.8622
Br 11.5882 0.1472 3.2961
Br 8.7430 0.2445 0.2561
Br 2.8135 3.2770 8.1092
Br 11.5882 5.8892 9.2819
Br 2.8135 2.7594 2.1235
Br 3.1712 8.7959 2.1235
Br 3.2265 6.2810 5.7296
Br 5.6034 0.1472 2.6896
Br 0.3813 6.1836 2.6896
Br 3.1712 9.3134 8.1092
Br 8.7430 5.7919 6.2418
Br 9.2112 11.8283 6.2418
Br 0.3813 11.9257 8.6753
Br 9.2112 6.2810 0.2561
Br 8.7982 2.7594 3.8622
Br 5.6034 5.8892 8.6753
Br 6.3660 11.9257 9.2819
Br 8.7982 3.2770 9.8479
C 6.8815 8.8618 7.0283
C 5.4765 9.3639 5.0667
C 5.0880 3.2110 4.9431
C 5.0880 2.8254 10.9288
C 0.5083 2.7090 11.0524
C 6.4930 3.3274 0.9190
C 0.5083 3.3274 5.0667
C 11.0727 2.8254 7.0283
C 0.8968 8.8618 10.9288
C 6.4930 2.7090 6.9047
C 0.8968 9.2475 4.9431
C 11.4612 8.7454 6.9047
C 11.4612 9.3639 0.9190
C 11.0727 3.2110 1.0426
C 5.4765 8.7454 11.0524
C 6.8815 9.2475 1.0426
Sn 8.8930 5.9700 9.4878
Sn 3.0764 6.1028 2.4836
Sn 2.9083 0.0664 2.4836
Sn 3.0764 12.0065 8.4694
Sn 9.0611 6.1028 3.5021
Sn 8.8930 0.0664 3.5021
Sn 9.0611 12.0065 9.4878
Sn 2.9083 5.9700 8.4694
N 0.0267 8.3171 0.0211
N 11.9427 2.2806 5.9646
N 0.0267 9.7922 6.0068
N 11.9427 3.7558 11.9503
N 5.9580 3.7558 6.0068
N 5.9580 2.2806 0.0211
N 6.0115 8.3171 5.9646
N 6.0115 9.7922 11.9503
```

Values from the calculation:
energy: -10.5215 eV per atom

***

Number 1: size of the total moment 2.21 μB/f.u.. Number 2: size of the total moment 0.00 μB/f.u.. Number 3: size of the total moment 0.00 μB/f.u.. Number 4: size of the total moment 0.00 μB/f.u.. Number 5: size of the total moment 5.25 μB/f.u.. Number 6: size of the total moment 0.00 μB/f.u..